Entry from Alexandria: crystalline PuMg3Cd4 at its relaxed geometry (PBE).

E_form = -63 meV per atom
M_tot = 5.99 μB/f.u.

Cell and atoms, written as CIF:
```
data_PuMg3Cd4
_cell_length_a 4.8413
_cell_length_b 7.9424
_cell_length_c 9.6816
_cell_angle_alpha 90.00
_cell_angle_beta 90.00
_cell_angle_gamma 90.00
_symmetry_space_group_name_H-M 'P 1'
_symmetry_Int_Tables_number 1
loop_
_symmetry_equiv_pos_as_xyz
'x,y,z'
loop_
_atom_site_label
_atom_site_type_symbol
_atom_site_fract_x
_atom_site_fract_y
_atom_site_fract_z
Mg1 Mg 0.4997 0.5000 0.2500
Mg2 Mg 0.0000 0.0000 0.5000
Mg3 Mg 0.5003 0.5000 0.7500
Mg4 Mg 0.5013 0.0000 0.7500
Mg5 Mg 0.0000 0.0000 0.0000
Mg6 Mg 0.4987 0.0000 0.2500
Cd1 Cd 0.0012 0.7644 0.7500
Cd2 Cd 0.9988 0.2356 0.2500
Cd3 Cd 0.0012 0.2356 0.7500
Cd4 Cd 0.5000 0.7643 0.5000
Cd5 Cd 0.9988 0.7644 0.2500
Cd6 Cd 0.5000 0.2357 0.0000
Cd7 Cd 0.5000 0.2357 0.5000
Cd8 Cd 0.5000 0.7643 0.0000
Pu1 Pu 0.0000 0.5000 0.0000
Pu2 Pu 0.0000 0.5000 0.5000
```

***

Entry from Alexandria: crystalline CdIn5Ag at its relaxed geometry (PBE).

E_form = 24 meV per atom
M_tot = 0.00 μB/f.u.

Cell and atoms, written as CIF:
```
data_CdIn5Ag
_cell_length_a 6.0109
_cell_length_b 7.5730
_cell_length_c 9.2526
_cell_angle_alpha 114.16
_cell_angle_beta 110.34
_cell_angle_gamma 90.00
_symmetry_space_group_name_H-M 'P 1'
_symmetry_Int_Tables_number 1
loop_
_symmetry_equiv_pos_as_xyz
'x,y,z'
loop_
_atom_site_label
_atom_site_type_symbol
_atom_site_fract_x
_atom_site_fract_y
_atom_site_fract_z
In1 In 0.5614 0.2109 0.1484
In2 In 0.4386 0.7891 0.8516
In3 In 0.0614 0.4375 0.1484
In4 In 0.6155 0.1144 0.7229
In5 In 0.3845 0.8856 0.2771
In6 In 0.7500 0.6532 0.5000
In7 In 0.8845 0.8915 0.2771
In8 In 0.9386 0.5625 0.8516
In9 In 0.1155 0.1085 0.7229
In10 In 0.2500 0.3468 0.5000
Cd1 Cd 0.0000 0.0000 0.0000
Cd2 Cd 0.5000 0.5000 0.0000
Ag1 Ag 0.2500 0.7384 0.5000
Ag2 Ag 0.7500 0.2616 0.5000
```

***

Entry from Alexandria: crystalline Er4InNi at its relaxed geometry (PBE).

E_form = -146 meV per atom
M_tot = 0.00 μB/f.u.

Cell and atoms, written as CIF:
```
data_Er4InNi
_cell_length_a 6.7583
_cell_length_b 7.0690
_cell_length_c 7.1971
_cell_angle_alpha 90.00
_cell_angle_beta 94.14
_cell_angle_gamma 90.00
_symmetry_space_group_name_H-M 'P 1'
_symmetry_Int_Tables_number 1
loop_
_symmetry_equiv_pos_as_xyz
'x,y,z'
loop_
_atom_site_label
_atom_site_type_symbol
_atom_site_fract_x
_atom_site_fract_y
_atom_site_fract_z
Ni1 Ni 0.0000 0.5000 0.5000
Ni2 Ni 0.5000 0.0000 0.5000
In1 In 0.0000 0.0000 0.0000
In2 In 0.5000 0.5000 0.0000
Er1 Er 0.6021 0.1397 0.8144
Er2 Er 0.1834 0.8309 0.6392
Er3 Er 0.8979 0.6397 0.1856
Er4 Er 0.1021 0.3603 0.8144
Er5 Er 0.3166 0.3309 0.3608
Er6 Er 0.8166 0.1691 0.3608
Er7 Er 0.3979 0.8603 0.1856
Er8 Er 0.6834 0.6691 0.6392
```

***

Entry from Alexandria: crystalline Hg5As at its relaxed geometry (PBE).

E_form = 213 meV per atom
M_tot = 0.00 μB/f.u.

Cell and atoms, written as CIF:
```
data_Hg5As
_cell_length_a 5.4592
_cell_length_b 5.4592
_cell_length_c 5.7096
_cell_angle_alpha 90.00
_cell_angle_beta 90.00
_cell_angle_gamma 120.00
_symmetry_space_group_name_H-M 'P 1'
_symmetry_Int_Tables_number 1
loop_
_symmetry_equiv_pos_as_xyz
'x,y,z'
loop_
_atom_site_label
_atom_site_type_symbol
_atom_site_fract_x
_atom_site_fract_y
_atom_site_fract_z
As1 As 0.0000 0.0000 0.5000
Hg1 Hg 0.3271 0.3271 0.0000
Hg2 Hg 0.6667 0.3333 0.5000
Hg3 Hg 0.6729 0.0000 0.0000
Hg4 Hg 0.3333 0.6667 0.5000
Hg5 Hg 0.0000 0.6729 0.0000
```

***

Entry from Alexandria: crystalline Li2MgRh2O6 at its relaxed geometry (PBE).

E_form (uncorrected) = -15.57 eV/f.u.
M_tot = 1.96 μB/f.u.

Cell and atoms, written as CIF:
```
data_Li2MgRh2O6
_cell_length_a 5.1769
_cell_length_b 5.1769
_cell_length_c 5.2505
_cell_angle_alpha 99.95
_cell_angle_beta 99.95
_cell_angle_gamma 119.01
_symmetry_space_group_name_H-M 'P 1'
_symmetry_Int_Tables_number 1
loop_
_symmetry_equiv_pos_as_xyz
'x,y,z'
loop_
_atom_site_label
_atom_site_type_symbol
_atom_site_fract_x
_atom_site_fract_y
_atom_site_fract_z
Rh1 Rh 0.3419 0.6581 0.5000
Rh2 Rh 0.6581 0.3419 0.5000
Mg1 Mg 0.0000 0.0000 0.5000
O1 O 0.4174 0.0628 0.7167
O2 O 0.9372 0.5826 0.2833
O3 O 0.7548 0.7548 0.7340
O4 O 0.5826 0.9372 0.2833
O5 O 0.2452 0.2452 0.2660
O6 O 0.0628 0.4174 0.7167
Li1 Li 0.1717 0.8283 0.0000
Li2 Li 0.8283 0.1717 0.0000
```

***

Entry from Alexandria: crystalline Cd2SeS at its relaxed geometry (PBE).

E_form (uncorrected) = -2.52 eV/f.u.
M_tot = 0.00 μB/f.u.

Cell and atoms, written as CIF:
```
data_Cd2SeS
_cell_length_a 6.0650
_cell_length_b 6.0650
_cell_length_c 7.4135
_cell_angle_alpha 65.85
_cell_angle_beta 65.85
_cell_angle_gamma 90.00
_symmetry_space_group_name_H-M 'P 1'
_symmetry_Int_Tables_number 1
loop_
_symmetry_equiv_pos_as_xyz
'x,y,z'
loop_
_atom_site_label
_atom_site_type_symbol
_atom_site_fract_x
_atom_site_fract_y
_atom_site_fract_z
S1 S 0.5000 0.5000 0.0000
S2 S 0.2500 0.7500 0.5000
Cd1 Cd 0.1396 0.6250 0.2500
Cd2 Cd 0.3750 0.3896 0.7500
Cd3 Cd 0.8750 0.8604 0.7500
Cd4 Cd 0.6104 0.1250 0.2500
Se1 Se 0.7500 0.2500 0.5000
Se2 Se 0.0000 0.0000 0.0000
```

***

Entry from Alexandria: crystalline TiHRu2 at its relaxed geometry (PBE).

M_tot = 0.00 μB/f.u.

Cell and atoms, written as CIF:
```
data_TiHRu2
_cell_length_a 2.9235
_cell_length_b 2.9235
_cell_length_c 5.6459
_cell_angle_alpha 90.00
_cell_angle_beta 90.00
_cell_angle_gamma 90.00
_symmetry_space_group_name_H-M 'P 1'
_symmetry_Int_Tables_number 1
loop_
_symmetry_equiv_pos_as_xyz
'x,y,z'
loop_
_atom_site_label
_atom_site_type_symbol
_atom_site_fract_x
_atom_site_fract_y
_atom_site_fract_z
Ru1 Ru 0.0000 0.0000 0.7835
Ru2 Ru 0.0000 0.0000 0.2165
H1 H 0.5000 0.5000 0.0000
Ti1 Ti 0.5000 0.5000 0.5000
```

***

Entry from Alexandria: crystalline LiSn3Hg at its relaxed geometry (PBE).

E_form = 178 meV per atom
M_tot = 0.00 μB/f.u.

Cell and atoms, written as CIF:
```
data_LiSn3Hg
_cell_length_a 5.0830
_cell_length_b 5.0830
_cell_length_c 5.0830
_cell_angle_alpha 90.00
_cell_angle_beta 90.00
_cell_angle_gamma 90.00
_symmetry_space_group_name_H-M 'P 1'
_symmetry_Int_Tables_number 1
loop_
_symmetry_equiv_pos_as_xyz
'x,y,z'
loop_
_atom_site_label
_atom_site_type_symbol
_atom_site_fract_x
_atom_site_fract_y
_atom_site_fract_z
Sn1 Sn 0.0000 0.5000 0.0000
Sn2 Sn 0.0000 0.0000 0.5000
Sn3 Sn 0.5000 0.0000 0.0000
Hg1 Hg 0.5000 0.5000 0.5000
Li1 Li 0.0000 0.0000 0.0000
```

***

Entry from Alexandria: crystalline Ti6Ga12Ru at its relaxed geometry (PBE).

E_form = -350 meV per atom
M_tot = 0.00 μB/f.u.

Cell and atoms, written as CIF:
```
data_Ti6Ga12Ru
_cell_length_a 6.7946
_cell_length_b 6.7946
_cell_length_c 6.7946
_cell_angle_alpha 95.22
_cell_angle_beta 95.22
_cell_angle_gamma 95.22
_symmetry_space_group_name_H-M 'P 1'
_symmetry_Int_Tables_number 1
loop_
_symmetry_equiv_pos_as_xyz
'x,y,z'
loop_
_atom_site_label
_atom_site_type_symbol
_atom_site_fract_x
_atom_site_fract_y
_atom_site_fract_z
Ga1 Ga 0.2009 0.4433 0.5244
Ga2 Ga 0.9720 0.8835 0.6331
Ga3 Ga 0.5244 0.2009 0.4433
Ga4 Ga 0.3669 0.0280 0.1165
Ga5 Ga 0.5567 0.4756 0.7991
Ga6 Ga 0.8835 0.6331 0.9720
Ga7 Ga 0.6331 0.9720 0.8835
Ga8 Ga 0.4433 0.5244 0.2009
Ga9 Ga 0.0280 0.1165 0.3669
Ga10 Ga 0.7991 0.5567 0.4756
Ga11 Ga 0.4756 0.7991 0.5567
Ga12 Ga 0.1165 0.3669 0.0280
Ru1 Ru 0.0000 0.0000 0.0000
Ti1 Ti 0.1420 0.7411 0.3015
Ti2 Ti 0.2589 0.6985 0.8580
Ti3 Ti 0.8580 0.2589 0.6985
Ti4 Ti 0.6985 0.8580 0.2589
Ti5 Ti 0.3015 0.1420 0.7411
Ti6 Ti 0.7411 0.3015 0.1420
```

***

Entry from Alexandria: crystalline Hf2TiTlAs at its relaxed geometry (PBE).

E_form = 572 meV per atom
M_tot = 0.00 μB/f.u.

Cell and atoms, written as CIF:
```
data_Hf2TiTlAs
_cell_length_a 5.0393
_cell_length_b 4.7789
_cell_length_c 5.0393
_cell_angle_alpha 90.00
_cell_angle_beta 90.00
_cell_angle_gamma 90.00
_symmetry_space_group_name_H-M 'P 1'
_symmetry_Int_Tables_number 1
loop_
_symmetry_equiv_pos_as_xyz
'x,y,z'
loop_
_atom_site_label
_atom_site_type_symbol
_atom_site_fract_x
_atom_site_fract_y
_atom_site_fract_z
Hf1 Hf 0.0000 0.0000 0.5000
Hf2 Hf 0.5000 0.0000 0.0000
As1 As 0.0000 0.5000 0.0000
Ti1 Ti 0.0000 0.0000 0.0000
Tl1 Tl 0.5000 0.5000 0.5000
```

***

Number 1: final energy -2.91 eV per atom. Number 2: final energy -2.47 eV per atom. Number 3: final energy -4.61 eV per atom. Number 4: final energy -0.81 eV per atom. Number 5: final energy -5.95 eV per atom. Number 6: final energy -2.99 eV per atom. Number 7: final energy -7.34 eV per atom. Number 8: final energy -2.67 eV per atom. Number 9: final energy -5.24 eV per atom. Number 10: final energy -6.39 eV per atom.